Below is Pm6VO12 after structural relaxation, with properties calculated at the GGA+U level.

Cell: 6.6199 6.6199 6.6199 Å, 98.47 98.47 98.47°
Each line ends with the local moment (μB).
Fractional positions:
O1 0.9665 0.0654 0.2892  0.03
O2 0.9346 0.7108 0.0335  0.03
O3 0.0335 0.9346 0.7108  0.03
O4 0.5557 0.8227 0.4096  0.14
O5 0.7108 0.0335 0.9346  0.03
O6 0.5904 0.4443 0.1773  0.14
O7 0.1773 0.5904 0.4443  0.14
O8 0.0654 0.2892 0.9665  0.03
O9 0.2892 0.9665 0.0654  0.03
O10 0.4443 0.1773 0.5904  0.14
O11 0.8227 0.4096 0.5557  0.14
O12 0.4096 0.5557 0.8227  0.14
Pm1 0.1395 0.2950 0.6121  0.00
Pm2 0.2950 0.6121 0.1395  0.00
Pm3 0.7050 0.3879 0.8605  0.00
Pm4 0.6121 0.1395 0.2950  0.00
Pm5 0.8605 0.7050 0.3879  0.00
Pm6 0.3879 0.8605 0.7050  0.00
V1 0.0000 0.0000 0.0000  -0.02

As for the total energy: -152.95 eV/cell. Its space group is No. 148. The total magnetization is 1.2 μB/f.u. The calculated density comes out at 6611 kg/m3.